# 1
! PBE LiAg2Ir, relaxed; values from VASP
! - symmetry = Immm, No. 71
! - theoretical density (g/cm3) = 10.9
! - final energy (eV per cell) = -15.643
&SYSTEM
  ibrav = 0, nat = 4, ntyp = 3
/
ATOMIC_SPECIES
Ag 107.87 Ag.upf
Ir 192.22 Ir.upf
Li 6.94 Li.upf
CELL_PARAMETERS angstrom
5.5441 0.0048 0.0020
2.7761 4.7989 -0.0020
-3.4576 -3.6186 2.3848
ATOMIC_POSITIONS angstrom
Ag 4.1014 2.3680 0.0000
Ir 3.1233 -0.6060 1.1934
Ag 0.0587 0.0339 0.0000
Li 1.7393 1.7911 1.1914

=====

# 2
! PBE LiAg2Ir, relaxed; values from VASP
! - symmetry = Cmm2, No. 35
! - theoretical density (g/cm3) = 10.8
! - final energy (eV per cell) = -16.181
&SYSTEM
  ibrav = 0, nat = 4, ntyp = 3
/
ATOMIC_SPECIES
Ag 107.87 Ag.upf
Ir 192.22 Ir.upf
Li 6.94 Li.upf
CELL_PARAMETERS angstrom
-1.2987 -1.9554 1.4144
1.8344 -0.8519 -1.8492
6.7704 0.2711 6.5915
ATOMIC_POSITIONS angstrom
Ag 6.6944 0.2680 6.5175
Ir 3.4940 0.1399 3.4017
Ag 2.0093 -1.3339 1.4780
Li 5.2642 -1.2036 4.6468

=====

# 3
! PBE Li3AgIr, relaxed; values from VASP
! - symmetry = Pm-3m, No. 221
! - theoretical density (g/cm3) = 5.4
! - final energy (eV per cell) = -15.139
&SYSTEM
  ibrav = 0, nat = 5, ntyp = 3
/
ATOMIC_SPECIES
Li 6.94 Li.upf
Ir 192.22 Ir.upf
Ag 107.87 Ag.upf
CELL_PARAMETERS angstrom
4.6339 0.0000 0.0000
0.0000 4.6339 0.0000
0.0000 0.0000 4.6339
ATOMIC_POSITIONS angstrom
Li 0.0000 0.0000 2.3169
Li 2.3169 0.0000 0.0000
Ir 0.0000 0.0000 0.0000
Ag 2.3169 2.3169 2.3169
Li 0.0000 2.3169 0.0000

=====

# 4
! PBE LiAgIr2, relaxed; values from VASP
! - symmetry = P4mm, No. 99
! - theoretical density (g/cm3) = 13.7
! - final energy (eV per cell) = -22.329
&SYSTEM
  ibrav = 0, nat = 4, ntyp = 3
/
ATOMIC_SPECIES
Li 6.94 Li.upf
Ir 192.22 Ir.upf
Ag 107.87 Ag.upf
CELL_PARAMETERS angstrom
2.7634 0.0000 0.0000
0.0000 2.7634 0.0000
0.0000 0.0000 7.9464
ATOMIC_POSITIONS angstrom
Li 0.0000 0.0000 3.8677
Ir 1.3817 1.3817 1.9392
Ag 1.3817 1.3817 5.9392
Ir 0.0000 0.0000 0.1735

=====

# 5
! PBE LiAg2Ir, relaxed; values from VASP
! - symmetry = Imm2, No. 44
! - theoretical density (g/cm3) = 10.9
! - final energy (eV per cell) = -15.868
&SYSTEM
  ibrav = 0, nat = 4, ntyp = 3
/
ATOMIC_SPECIES
Li 6.94 Li.upf
Ag 107.87 Ag.upf
Ir 192.22 Ir.upf
CELL_PARAMETERS angstrom
-2.6637 4.2799 -2.2049
-0.7165 0.2472 -5.4498
-0.8731 -2.4533 4.8471
ATOMIC_POSITIONS angstrom
Li -1.6537 0.0471 -2.2463
Ag -0.0282 0.0377 -0.0638
Ag -2.6032 2.0313 -0.5693
Ir -1.6585 2.2212 -3.7557

=====

# 6
! PBE Li2AgIr2, relaxed; values from VASP
! - symmetry = P4/mbm, No. 127
! - theoretical density (g/cm3) = 11.4
! - final energy (eV per cell) = -46.436
&SYSTEM
  ibrav = 0, nat = 10, ntyp = 3
/
ATOMIC_SPECIES
Ir 192.22 Ir.upf
Li 6.94 Li.upf
Ag 107.87 Ag.upf
CELL_PARAMETERS angstrom
7.5189 0.0000 0.0000
0.0000 7.5189 0.0000
0.0000 0.0000 2.6043
ATOMIC_POSITIONS angstrom
Ir 6.6095 2.8500 1.3022
Li 6.2292 5.0492 0.0000
Ir 0.9094 4.6689 1.3022
Ir 2.8500 0.9094 1.3022
Li 5.0492 1.2897 0.0000
Ag 0.0000 0.0000 0.0000
Ir 4.6689 6.6095 1.3022
Li 1.2897 2.4698 0.0000
Li 2.4698 6.2292 0.0000
Ag 3.7595 3.7595 0.0000

=====

# 7
! PBE LiAg2Ir, relaxed; values from VASP
! - symmetry = P4mm, No. 99
! - theoretical density (g/cm3) = 10.9
! - final energy (eV per cell) = -15.968
&SYSTEM
  ibrav = 0, nat = 4, ntyp = 3
/
ATOMIC_SPECIES
Li 6.94 Li.upf
Ag 107.87 Ag.upf
Ir 192.22 Ir.upf
CELL_PARAMETERS angstrom
2.7487 0.0000 0.0000
0.0000 2.7487 0.0000
0.0000 0.0000 8.3328
ATOMIC_POSITIONS angstrom
Li 1.3744 1.3744 6.1337
Ag 1.3744 1.3744 2.1544
Ag 0.0000 0.0000 8.2320
Ir 0.0000 0.0000 4.3119

=====

# 8
! PBE LiAg2Ir, relaxed; values from VASP
! - symmetry = Cmmm, No. 65
! - theoretical density (g/cm3) = 10.7
! - final energy (eV per cell) = -15.827
&SYSTEM
  ibrav = 0, nat = 4, ntyp = 3
/
ATOMIC_SPECIES
Ag 107.87 Ag.upf
Ir 192.22 Ir.upf
Li 6.94 Li.upf
CELL_PARAMETERS angstrom
-0.6207 -1.3792 -2.3021
2.6141 0.7846 0.3713
1.8476 -8.2626 4.4519
ATOMIC_POSITIONS angstrom
Ag 0.9412 -4.2092 2.2679
Ag 1.8302 -8.1847 4.4099
Ir 1.4586 -2.3629 0.1476
Li 2.3824 -6.4942 2.3735

=====

# 9
! PBE LiAgIr2, relaxed; values from VASP
! - symmetry = Imm2, No. 44
! - theoretical density (g/cm3) = 13.8
! - final energy (eV per cell) = -21.430
&SYSTEM
  ibrav = 0, nat = 4, ntyp = 3
/
ATOMIC_SPECIES
Ir 192.22 Ir.upf
Li 6.94 Li.upf
Ag 107.87 Ag.upf
CELL_PARAMETERS angstrom
5.3179 0.0014 -0.0013
2.5259 4.6797 0.0013
-3.2751 -3.4244 2.4140
ATOMIC_POSITIONS angstrom
Ir 3.0195 -0.5191 1.2063
Li 3.9456 2.3547 0.0000
Ag 1.6210 1.8186 1.2076
Ir 7.7484 4.6242 0.0000

=====

# 10
! PBE LiLuAgIr, relaxed; values from VASP
! - symmetry = F-43m, No. 216
! - theoretical density (g/cm3) = 11.3
! - final energy (eV per cell) = -19.701
&SYSTEM
  ibrav = 0, nat = 4, ntyp = 4
/
ATOMIC_SPECIES
Ir 192.22 Ir.upf
Li 6.94 Li.upf
Lu 174.97 Lu.upf
Ag 107.87 Ag.upf
CELL_PARAMETERS angstrom
4.6476 0.0000 0.0000
2.3238 4.0249 0.0000
2.3238 1.3416 3.7947
ATOMIC_POSITIONS angstrom
Ir 6.9714 4.0249 2.8461
Li 0.0000 0.0000 0.0000
Lu 4.6476 2.6833 1.8974
Ag 2.3238 1.3416 0.9487

=====

# 11
! PBE LiMgAgIr, relaxed; values from VASP
! - symmetry = F-43m, No. 216
! - theoretical density (g/cm3) = 9.0
! - final energy (eV per cell) = -15.753
&SYSTEM
  ibrav = 0, nat = 4, ntyp = 4
/
ATOMIC_SPECIES
Mg 24.30 Mg.upf
Ag 107.87 Ag.upf
Ir 192.22 Ir.upf
Li 6.94 Li.upf
CELL_PARAMETERS angstrom
-3.4524 2.2902 1.5345
-3.0226 -1.9920 2.5327
-0.2682 0.9755 4.3006
ATOMIC_POSITIONS angstrom
Mg -3.3716 0.6369 4.1839
Ag -1.6858 0.3184 2.0920
Ir -5.0574 0.9553 6.2759
Li 0.0000 0.0000 0.0000

=====

# 12
! PBE LiMgAgIr2, relaxed; values from VASP
! - symmetry = P4/mmm, No. 123
! - theoretical density (g/cm3) = 7.5
! - final energy (eV per cell) = -17.622
&SYSTEM
  ibrav = 0, nat = 5, ntyp = 4
/
ATOMIC_SPECIES
Ir 192.22 Ir.upf
Mg 24.30 Mg.upf
Li 6.94 Li.upf
Ag 107.87 Ag.upf
CELL_PARAMETERS angstrom
4.9297 0.0000 0.0000
0.0000 4.7703 0.0000
0.0000 0.0000 4.9297
ATOMIC_POSITIONS angstrom
Ir 0.0000 0.0000 2.4649
Ir 2.4649 0.0000 0.0000
Mg 0.0000 2.3852 0.0000
Li 2.4649 2.3852 2.4649
Ag 0.0000 0.0000 0.0000

=====

Q: What is the formula in the sixth record?
A: Li2AgIr2